[1]
TbNd5Sb5: optimized geometry, PBE.

Calculated values
Crystal system: monoclinic
Uncorrected formation energy in eV per atom: -0.9959
Volume in Å³/cell: 377.1
Magnetic moment in μB/atom: 0.000

Cell lengths 7.729, 7.729, 8.921 Å; angles 106.91, 106.91, 48.29 degrees
Atoms (fractional coordinates):
1 Tb 0.000 0.000 0.000
2 Nd 0.000 0.000 0.500
3 Nd 0.330 0.330 0.668
4 Nd 0.335 0.335 0.167
5 Nd 0.665 0.665 0.833
6 Nd 0.670 0.670 0.332
7 Sb 0.165 0.165 0.331
8 Sb 0.166 0.166 0.835
9 Sb 0.500 0.500 0.000
10 Sb 0.834 0.834 0.165
11 Sb 0.835 0.835 0.669

=====

[2]
TbNd4Sb2: optimized geometry, PBE.

Calculated values
Crystal system: tetragonal
Uncorrected formation energy in eV per atom: 0.1056
Volume in Å³/cell: 250.8
Magnetic moment in μB/atom: 0.000

Cell lengths 9.329, 9.329, 9.329 Å; angles 146.15, 146.15, 48.62 degrees
Atoms (fractional coordinates):
1 Tb 0.000 0.000 0.000
2 Nd 0.000 0.500 0.500
3 Nd 0.184 0.184 0.000
4 Nd 0.500 0.000 0.500
5 Nd 0.816 0.816 0.000
6 Sb 0.367 0.367 0.000
7 Sb 0.633 0.633 0.000

=====

[3]
Tb2Nd2Sb5: optimized geometry, PBE.

Calculated values
Crystal system: orthorhombic
Uncorrected formation energy in eV per atom: -0.8932
Volume in Å³/cell: 541.5
Magnetic moment in μB/atom: 0.000

Cell lengths 8.940, 8.940, 8.348 Å; angles 90.00, 90.00, 54.25 degrees
Atoms (fractional coordinates):
1 Tb 0.190 0.190 0.000
2 Tb 0.310 0.310 0.500
3 Tb 0.690 0.690 0.500
4 Tb 0.810 0.810 0.000
5 Nd 0.158 0.842 0.662
6 Nd 0.342 0.658 0.162
7 Nd 0.658 0.342 0.838
8 Nd 0.842 0.158 0.338
9 Sb 0.000 0.000 0.000
10 Sb 0.001 0.711 0.355
11 Sb 0.211 0.501 0.855
12 Sb 0.289 0.999 0.355
13 Sb 0.499 0.789 0.855
14 Sb 0.500 0.500 0.500
15 Sb 0.501 0.211 0.145
16 Sb 0.711 0.001 0.645
17 Sb 0.789 0.499 0.145
18 Sb 0.999 0.289 0.645

=====

[4]
TbNd2Sb: optimized geometry, PBE.

Calculated values
Crystal system: monoclinic
Uncorrected formation energy in eV per atom: -0.5378
Volume in Å³/cell: 248.6
Magnetic moment in μB/atom: 0.000
Energy relative to the lowest polymorph listed for this composition in eV per atom: 0.0000

Cell lengths 4.619, 4.613, 11.892 Å; angles 90.00, 101.17, 90.00 degrees
Atoms (fractional coordinates):
1 Tb 0.195 0.250 0.390
2 Tb 0.805 0.750 0.610
3 Nd 0.068 0.750 0.137
4 Nd 0.437 0.750 0.875
5 Nd 0.563 0.250 0.125
6 Nd 0.932 0.250 0.863
7 Sb 0.328 0.250 0.656
8 Sb 0.672 0.750 0.344

=====

[5]
Tb5NdSb6: optimized geometry, PBE.

Calculated values
Crystal system: monoclinic
Uncorrected formation energy in eV per atom: -1.1527
Volume in Å³/cell: 367.2
Magnetic moment in μB/atom: 0.000

Cell lengths 7.663, 7.663, 7.662 Å; angles 99.61, 99.61, 120.01 degrees
Atoms (fractional coordinates):
1 Tb 0.000 0.000 0.000
2 Tb 0.167 0.833 0.500
3 Tb 0.335 0.665 0.000
4 Tb 0.665 0.335 0.000
5 Tb 0.833 0.167 0.500
6 Nd 0.500 0.500 0.500
7 Sb 0.078 0.415 0.247
8 Sb 0.246 0.246 0.751
9 Sb 0.415 0.078 0.247
10 Sb 0.585 0.922 0.753
11 Sb 0.754 0.754 0.249
12 Sb 0.922 0.585 0.753

=====

[6]
Tb3Nd5Sb8: optimized geometry, PBE.

Calculated values
Crystal system: trigonal
Uncorrected formation energy in eV per atom: -1.1702
Volume in Å³/cell: 508.6
Magnetic moment in μB/atom: 0.000

Cell lengths 8.958, 8.958, 8.958 Å; angles 60.02, 60.02, 60.02 degrees
Atoms (fractional coordinates):
1 Tb 0.000 0.500 0.500
2 Tb 0.500 0.000 0.500
3 Tb 0.500 0.500 0.000
4 Nd 0.000 0.000 0.000
5 Nd 0.000 0.000 0.500
6 Nd 0.000 0.500 0.000
7 Nd 0.500 0.000 0.000
8 Nd 0.500 0.500 0.500
9 Sb 0.250 0.250 0.745
10 Sb 0.250 0.745 0.250
11 Sb 0.253 0.253 0.253
12 Sb 0.255 0.750 0.750
13 Sb 0.745 0.250 0.250
14 Sb 0.747 0.747 0.747
15 Sb 0.750 0.255 0.750
16 Sb 0.750 0.750 0.255

=====

[7]
TbNd2Sb: optimized geometry, PBE.

Calculated values
Crystal system: tetragonal
Uncorrected formation energy in eV per atom: -0.5274
Volume in Å³/cell: 117.0
Magnetic moment in μB/atom: 0.000
Energy relative to the lowest polymorph listed for this composition in eV per atom: 0.0104

Cell lengths 4.870, 4.870, 4.933 Å; angles 90.00, 90.00, 90.00 degrees
Atoms (fractional coordinates):
1 Tb 0.000 0.000 0.000
2 Nd 0.000 0.500 0.500
3 Nd 0.500 0.000 0.500
4 Sb 0.500 0.500 0.000

=====

[8]
TbNdSb2: optimized geometry, PBE.

Calculated values
Crystal system: orthorhombic
Uncorrected formation energy in eV per atom: -1.1654
Volume in Å³/cell: 251.6
Magnetic moment in μB/atom: 0.000
Energy relative to the lowest polymorph listed for this composition in eV per atom: 0.0008

Cell lengths 4.464, 6.314, 8.924 Å; angles 90.00, 90.00, 90.00 degrees
Atoms (fractional coordinates):
1 Tb 0.250 0.250 0.124
2 Tb 0.750 0.750 0.876
3 Nd 0.250 0.250 0.626
4 Nd 0.750 0.750 0.374
5 Sb 0.250 0.750 0.119
6 Sb 0.250 0.750 0.631
7 Sb 0.750 0.250 0.369
8 Sb 0.750 0.250 0.881

=====

[9]
TbNd2Sb3: optimized geometry, PBE.

Calculated values
Crystal system: monoclinic
Uncorrected formation energy in eV per atom: -1.1719
Volume in Å³/cell: 382.6
Magnetic moment in μB/atom: 0.000

Cell lengths 7.769, 7.769, 7.765 Å; angles 99.60, 99.60, 120.00 degrees
Atoms (fractional coordinates):
1 Tb 0.167 0.833 0.000
2 Tb 0.833 0.167 0.000
3 Nd 0.000 0.000 0.500
4 Nd 0.335 0.665 0.500
5 Nd 0.500 0.500 0.000
6 Nd 0.665 0.335 0.500
7 Sb 0.081 0.418 0.755
8 Sb 0.243 0.243 0.244
9 Sb 0.418 0.081 0.755
10 Sb 0.582 0.919 0.245
11 Sb 0.757 0.757 0.756
12 Sb 0.919 0.582 0.245

=====

[10]
TbNd2Sb3: optimized geometry, PBE.

Calculated values
Crystal system: orthorhombic
Uncorrected formation energy in eV per atom: -1.1708
Volume in Å³/cell: 191.3
Magnetic moment in μB/atom: 0.000

Cell lengths 7.765, 7.765, 7.765 Å; angles 146.41, 131.80, 60.03 degrees
Atoms (fractional coordinates):
1 Tb 0.000 0.000 0.000
2 Nd 0.332 0.332 0.000
3 Nd 0.668 0.668 0.000
4 Sb 0.162 0.662 0.500
5 Sb 0.500 0.000 0.500
6 Sb 0.838 0.338 0.500

=====

[11]
TbNd2Sb2Te2: optimized geometry, PBE.

Calculated values
Crystal system: tetragonal
Uncorrected formation energy in eV per atom: -0.7740
Volume in Å³/cell: 258.8
Magnetic moment in μB/atom: 0.000

Cell lengths 8.813, 8.813, 8.813 Å; angles 141.90, 141.90, 54.99 degrees
Atoms (fractional coordinates):
1 Tb 0.000 0.000 0.000
2 Nd 0.385 0.385 0.000
3 Nd 0.615 0.615 0.000
4 Sb 0.000 0.500 0.500
5 Sb 0.500 0.000 0.500
6 Te 0.194 0.194 0.000
7 Te 0.806 0.806 0.000

=====

[12]
Tb2NdSb2Te2: optimized geometry, PBE.

Calculated values
Crystal system: tetragonal
Uncorrected formation energy in eV per atom: -0.6216
Volume in Å³/cell: 263.1
Magnetic moment in μB/atom: 0.000

Cell lengths 8.699, 8.699, 8.699 Å; angles 140.60, 140.60, 56.95 degrees
Atoms (fractional coordinates):
1 Tb 0.109 0.109 0.000
2 Tb 0.891 0.891 0.000
3 Nd 0.500 0.500 0.000
4 Sb 0.000 0.500 0.500
5 Sb 0.500 0.000 0.500
6 Te 0.297 0.297 0.000
7 Te 0.703 0.703 0.000

=====

[13]
TbNd2Th3Sb6: optimized geometry, PBE.

Calculated values
Crystal system: monoclinic
Uncorrected formation energy in eV per atom: -1.0508
Volume in Å³/cell: 385.2
Magnetic moment in μB/atom: 0.000

Cell lengths 10.053, 10.053, 8.973 Å; angles 102.82, 102.82, 25.86 degrees
Atoms (fractional coordinates):
1 Tb 0.000 0.000 0.000
2 Nd 0.334 0.334 0.667
3 Nd 0.666 0.666 0.333
4 Th 0.000 0.000 0.500
5 Th 0.332 0.332 0.166
6 Th 0.668 0.668 0.834
7 Sb 0.164 0.164 0.081
8 Sb 0.166 0.166 0.584
9 Sb 0.499 0.499 0.245
10 Sb 0.501 0.501 0.755
11 Sb 0.834 0.834 0.416
12 Sb 0.836 0.836 0.919

=====

[14]
Tb3NdTh2Sb6: optimized geometry, PBE.

Calculated values
Crystal system: monoclinic
Uncorrected formation energy in eV per atom: -1.0856
Volume in Å³/cell: 375.8
Magnetic moment in μB/atom: 0.000

Cell lengths 9.958, 9.958, 8.899 Å; angles 102.71, 102.71, 25.92 degrees
Atoms (fractional coordinates):
1 Tb 0.000 0.000 0.000
2 Tb 0.334 0.334 0.666
3 Tb 0.666 0.666 0.334
4 Nd 0.000 0.000 0.500
5 Th 0.335 0.335 0.169
6 Th 0.665 0.665 0.831
7 Sb 0.165 0.165 0.087
8 Sb 0.169 0.169 0.579
9 Sb 0.498 0.498 0.755
10 Sb 0.502 0.502 0.245
11 Sb 0.831 0.831 0.421
12 Sb 0.835 0.835 0.913

=====

[15]
TbNd2ThSb4: optimized geometry, PBE.

Calculated values
Crystal system: monoclinic
Uncorrected formation energy in eV per atom: -1.1263
Volume in Å³/cell: 256.4
Magnetic moment in μB/atom: 0.000

Cell lengths 7.765, 4.498, 7.787 Å; angles 90.00, 109.47, 90.00 degrees
Atoms (fractional coordinates):
1 Tb 0.000 0.000 0.000
2 Nd 0.000 0.500 0.500
3 Nd 0.500 0.000 0.500
4 Th 0.500 0.500 0.000
5 Sb 0.245 0.500 0.244
6 Sb 0.248 0.000 0.753
7 Sb 0.752 0.000 0.247
8 Sb 0.755 0.500 0.756

=====

[16]
TbNd2ThSb5: optimized geometry, PBE.

Calculated values
Crystal system: tetragonal
Uncorrected formation energy in eV per atom: -0.2583
Volume in Å³/cell: 330.6
Magnetic moment in μB/atom: 0.000

Cell lengths 5.270, 5.270, 11.901 Å; angles 90.00, 90.00, 90.00 degrees
Atoms (fractional coordinates):
1 Tb 0.000 0.000 0.000
2 Nd 0.500 0.500 0.215
3 Nd 0.500 0.500 0.785
4 Th 0.000 0.000 0.500
5 Sb 0.000 0.000 0.251
6 Sb 0.000 0.000 0.749
7 Sb 0.000 0.500 0.000
8 Sb 0.500 0.000 0.000
9 Sb 0.500 0.500 0.500

=====

[17]
TbNd2TmSb4: optimized geometry, PBE.

Calculated values
Crystal system: monoclinic
Uncorrected formation energy in eV per atom: -1.1439
Volume in Å³/cell: 249.0
Magnetic moment in μB/atom: 0.000

Cell lengths 7.699, 4.452, 7.707 Å; angles 90.00, 109.50, 90.00 degrees
Atoms (fractional coordinates):
1 Tb 0.000 0.000 0.000
2 Nd 0.500 0.000 0.500
3 Nd 0.500 0.500 0.000
4 Tm 0.000 0.500 0.500
5 Sb 0.239 0.000 0.744
6 Sb 0.241 0.500 0.249
7 Sb 0.759 0.500 0.751
8 Sb 0.761 0.000 0.256

=====

[18]
TbNdTm2Sb4: optimized geometry, PBE.

Calculated values
Crystal system: monoclinic
Uncorrected formation energy in eV per atom: -1.1126
Volume in Å³/cell: 241.3
Magnetic moment in μB/atom: 0.000

Cell lengths 7.618, 4.406, 7.625 Å; angles 90.00, 109.50, 90.00 degrees
Atoms (fractional coordinates):
1 Tb 0.000 0.000 0.000
2 Nd 0.000 0.500 0.500
3 Tm 0.500 0.000 0.500
4 Tm 0.500 0.500 0.000
5 Sb 0.257 0.500 0.249
6 Sb 0.260 0.000 0.757
7 Sb 0.740 0.000 0.243
8 Sb 0.743 0.500 0.751

=====

[19]
Tb3Nd2YSb6: optimized geometry, PBE.

Calculated values
Crystal system: monoclinic
Uncorrected formation energy in eV per atom: -1.1614
Volume in Å³/cell: 372.0
Magnetic moment in μB/atom: 0.000

Cell lengths 9.932, 9.932, 8.882 Å; angles 102.89, 102.89, 25.86 degrees
Atoms (fractional coordinates):
1 Tb 0.000 0.000 0.000
2 Tb 0.332 0.332 0.666
3 Tb 0.668 0.668 0.334
4 Nd 0.334 0.334 0.168
5 Nd 0.666 0.666 0.832
6 Y 0.000 0.000 0.500
7 Sb 0.165 0.165 0.088
8 Sb 0.166 0.166 0.577
9 Sb 0.498 0.498 0.748
10 Sb 0.502 0.502 0.252
11 Sb 0.834 0.834 0.423
12 Sb 0.835 0.835 0.912

=====

[20]
TbNd2Y3Sb6: optimized geometry, PBE.

Calculated values
Crystal system: monoclinic
Uncorrected formation energy in eV per atom: -1.1670
Volume in Å³/cell: 371.0
Magnetic moment in μB/atom: 0.000

Cell lengths 7.692, 7.692, 7.682 Å; angles 99.60, 99.60, 120.01 degrees
Atoms (fractional coordinates):
1 Tb 0.000 0.000 0.000
2 Nd 0.334 0.666 0.000
3 Nd 0.666 0.334 0.000
4 Y 0.169 0.831 0.500
5 Y 0.500 0.500 0.500
6 Y 0.831 0.169 0.500
7 Sb 0.085 0.414 0.255
8 Sb 0.243 0.243 0.743
9 Sb 0.414 0.085 0.255
10 Sb 0.586 0.915 0.745
11 Sb 0.757 0.757 0.257
12 Sb 0.915 0.586 0.745